No. 1
The following is a PBE-GGA calculation of an optimized crystal structure of Cr2CoSiC, from Alexandria via LeMat-Bulk.

Calculated values
Crystal system: tetragonal
Uncorrected energy: -6.448 eV/atom
Total magnetic moment: 4.9 μB/cell

Cell lengths 4.373, 4.373, 4.110 Å; angles 90.00, 90.00, 90.00 degrees
Atoms (fractional coordinates):
Cr  0.000  0.500  0.000
Cr  0.500  0.000  0.000
Co  0.000  0.000  0.000
Si  0.000  0.000  0.500
C  0.500  0.500  0.500

=====

No. 2
The following is a PBE-GGA calculation of an optimized crystal structure of Pm2SmHgN, from Alexandria via LeMat-Bulk.

Calculated values
Crystal system: tetragonal
Uncorrected energy: -5.371 eV/atom
Total magnetic moment: 0.0 μB/cell

Cell lengths 4.976, 4.976, 4.939 Å; angles 90.00, 90.00, 90.00 degrees
Atoms (fractional coordinates):
Pm  0.000  0.500  0.000
Pm  0.500  0.000  0.000
Sm  0.000  0.000  0.500
Hg  0.500  0.500  0.500
N  0.000  0.000  0.000

=====

No. 3
The following is a PBE-GGA calculation of an optimized crystal structure of BaCoOs2, from Alexandria via LeMat-Bulk.

Calculated values
Crystal system: orthorhombic
Formation energy from the elements: 0.695 eV per atom
Total magnetic moment: 1.7 μB/cell

Cell lengths 2.899, 3.602, 7.515 Å; angles 90.00, 90.00, 90.00 degrees
Atoms (fractional coordinates):
Ba  0.000  0.000  0.000
Co  0.500  0.500  0.323
Os  0.000  0.000  0.495
Os  0.500  0.500  0.653

=====

No. 4
The following is a PBE-GGA calculation of an optimized crystal structure of BeHgOs2, from Alexandria via LeMat-Bulk.

Calculated values
Crystal system: orthorhombic
Formation energy from the elements: 0.441 eV per atom
Total magnetic moment: 0.0 μB/cell

Cell lengths 5.362, 5.362, 5.362 Å; angles 149.50, 132.35, 57.64 degrees
Atoms (fractional coordinates):
Be  0.000  0.000  0.000
Hg  0.500  0.500  0.000
Os  0.207  0.707  0.500
Os  0.793  0.293  0.500

=====

No. 5
The following is a PBE-GGA calculation of an optimized crystal structure of CeNdDyZr, from Alexandria via LeMat-Bulk.

Calculated values
Crystal system: cubic
Formation energy from the elements: 0.267 eV per atom
Total magnetic moment: 2.8 μB/cell

Cell lengths 5.526, 5.526, 5.526 Å; angles 60.00, 60.00, 60.00 degrees
Atoms (fractional coordinates):
Ce  0.000  0.000  0.000
Nd  0.250  0.250  0.250
Dy  0.500  0.500  0.500
Zr  0.750  0.750  0.750

=====

No. 6
The following is a PBE-GGA calculation of an optimized crystal structure of Y2ZnB, from Alexandria via LeMat-Bulk.

Calculated values
Crystal system: cubic
Formation energy from the elements: 0.024 eV per atom
Total magnetic moment: 0.0 μB/cell

Cell lengths 4.805, 4.805, 4.805 Å; angles 60.00, 60.00, 60.00 degrees
Atoms (fractional coordinates):
Y  0.250  0.250  0.250
Y  0.750  0.750  0.750
Zn  0.000  0.000  0.000
B  0.500  0.500  0.500

=====

No. 7
The following is a PBE-GGA calculation of an optimized crystal structure of PmYSn, from Alexandria via LeMat-Bulk.

Calculated values
Crystal system: tetragonal
Formation energy from the elements: -0.453 eV per atom
Total magnetic moment: 0.8 μB/cell

Cell lengths 5.803, 5.803, 5.803 Å; angles 138.27, 138.27, 60.49 degrees
Atoms (fractional coordinates):
Pm  0.000  0.000  0.000
Y  0.313  0.313  0.000
Sn  0.661  0.661  0.000

=====

No. 8
The following is a PBE-GGA calculation of an optimized crystal structure of BaZn6Au2, from Alexandria via LeMat-Bulk.

Calculated values
Crystal system: orthorhombic
Formation energy from the elements: -0.151 eV per atom
Total magnetic moment: 0.0 μB/cell

Cell lengths 7.205, 7.205, 7.205 Å; angles 143.89, 120.55, 71.57 degrees
Atoms (fractional coordinates):
Ba  0.000  0.000  0.000
Zn  0.090  0.290  0.800
Zn  0.328  0.500  0.828
Zn  0.490  0.290  0.200
Zn  0.510  0.710  0.800
Zn  0.672  0.500  0.172
Zn  0.910  0.710  0.200
Au  0.357  0.857  0.500
Au  0.643  0.143  0.500

=====

No. 9
The following is a PBE-GGA calculation of an optimized crystal structure of Hf3MgNb, from Alexandria via LeMat-Bulk.

Calculated values
Crystal system: cubic
Formation energy from the elements: 0.927 eV per atom
Total magnetic moment: 0.0 μB/cell

Cell lengths 5.105, 5.105, 5.105 Å; angles 90.00, 90.00, 90.00 degrees
Atoms (fractional coordinates):
Hf  0.000  0.000  0.500
Hf  0.000  0.500  0.000
Hf  0.500  0.000  0.000
Mg  0.500  0.500  0.500
Nb  0.000  0.000  0.000

=====

No. 10
The following is a PBE-GGA calculation of an optimized crystal structure of RbPa2NiN4, from Alexandria via LeMat-Bulk.

Calculated values
Crystal system: orthorhombic
Uncorrected energy: -8.428 eV/atom
Total magnetic moment: 0.0 μB/cell

Cell lengths 6.308, 6.308, 11.819 Å; angles 90.00, 90.00, 146.72 degrees
Atoms (fractional coordinates):
Rb  0.100  0.900  0.750
Rb  0.900  0.100  0.250
Pa  0.365  0.635  0.559
Pa  0.365  0.635  0.941
Pa  0.635  0.365  0.059
Pa  0.635  0.365  0.441
Ni  0.173  0.827  0.250
Ni  0.827  0.173  0.750
N  0.000  0.000  0.000
N  0.000  0.000  0.500
N  0.244  0.756  0.092
N  0.244  0.756  0.408
N  0.389  0.611  0.750
N  0.611  0.389  0.250
N  0.756  0.244  0.592
N  0.756  0.244  0.908

=====

No. 11
The following is a PBE-GGA calculation of an optimized crystal structure of YFeAs3, from Alexandria via LeMat-Bulk.

Calculated values
Crystal system: cubic
Formation energy from the elements: -0.092 eV per atom
Total magnetic moment: 0.0 μB/cell

Cell lengths 4.660, 4.660, 4.660 Å; angles 90.00, 90.00, 90.00 degrees
Atoms (fractional coordinates):
Y  0.000  0.000  0.000
Fe  0.500  0.500  0.500
As  0.000  0.500  0.500
As  0.500  0.000  0.500
As  0.500  0.500  0.000

=====

No. 12
The following is a PBE-GGA calculation of an optimized crystal structure of SmAl2Ag2, from Alexandria via LeMat-Bulk.

Calculated values
Crystal system: tetragonal
Formation energy from the elements: 0.550 eV per atom
Total magnetic moment: 0.5 μB/cell

Cell lengths 10.456, 10.456, 10.456 Å; angles 159.30, 159.30, 29.44 degrees
Atoms (fractional coordinates):
Sm  0.000  0.000  0.000
Al  0.150  0.150  0.000
Al  0.850  0.850  0.000
Ag  0.250  0.750  0.500
Ag  0.750  0.250  0.500

=====

No. 13
The following is a PBE-GGA calculation of an optimized crystal structure of ZnIn3Rh4, from Alexandria via LeMat-Bulk.

Calculated values
Crystal system: tetragonal
Formation energy from the elements: -0.429 eV per atom
Total magnetic moment: 0.0 μB/cell

Cell lengths 3.190, 3.190, 12.686 Å; angles 90.00, 90.00, 90.00 degrees
Atoms (fractional coordinates):
Zn  0.000  0.000  0.000
In  0.000  0.000  0.239
In  0.000  0.000  0.500
In  0.000  0.000  0.761
Rh  0.500  0.500  0.114
Rh  0.500  0.500  0.371
Rh  0.500  0.500  0.629
Rh  0.500  0.500  0.886

=====

No. 14
The following is a PBE-GGA calculation of an optimized crystal structure of Ca2ThFeN4, from Alexandria via LeMat-Bulk.

Calculated values
Crystal system: orthorhombic
Uncorrected energy: -7.408 eV/atom
Total magnetic moment: 2.1 μB/cell

Cell lengths 5.883, 5.883, 11.718 Å; angles 90.00, 90.00, 146.20 degrees
Atoms (fractional coordinates):
Ca  0.132  0.868  0.543
Ca  0.132  0.868  0.957
Ca  0.868  0.132  0.043
Ca  0.868  0.132  0.457
Th  0.406  0.594  0.750
Th  0.594  0.406  0.250
Fe  0.330  0.670  0.250
Fe  0.670  0.330  0.750
N  0.083  0.917  0.750
N  0.220  0.780  0.142
N  0.220  0.780  0.358
N  0.500  0.500  0.000
N  0.500  0.500  0.500
N  0.780  0.220  0.642
N  0.780  0.220  0.858
N  0.917  0.083  0.250

=====

No. 15
The following is a PBE-GGA calculation of an optimized crystal structure of Na4RhF10, from Alexandria via LeMat-Bulk.

Calculated values
Crystal system: tetragonal
Uncorrected energy: -4.079 eV/atom
Total magnetic moment: 1.1 μB/cell

Cell lengths 6.600, 6.600, 6.600 Å; angles 99.07, 99.07, 133.21 degrees
Atoms (fractional coordinates):
Na  0.097  0.698  0.796
Na  0.302  0.097  0.399
Na  0.698  0.903  0.601
Na  0.903  0.302  0.204
Rh  0.500  0.500  0.000
F  0.109  0.373  0.926
F  0.183  0.109  0.736
F  0.250  0.750  0.500
F  0.373  0.447  0.264
F  0.447  0.183  0.074
F  0.553  0.817  0.926
F  0.627  0.553  0.736
F  0.750  0.250  0.500
F  0.817  0.891  0.264
F  0.891  0.627  0.074

=====

No. 16
The following is a PBE-GGA calculation of an optimized crystal structure of Ti11Nb4Al9, from Alexandria via LeMat-Bulk.

Calculated values
Crystal system: orthorhombic
Formation energy from the elements: -0.223 eV per atom
Total magnetic moment: 0.0 μB/cell

Cell lengths 12.273, 12.273, 2.871 Å; angles 90.00, 90.00, 110.73 degrees
Atoms (fractional coordinates):
Ti  0.000  0.000  0.000
Ti  0.037  0.400  0.000
Ti  0.193  0.807  0.000
Ti  0.194  0.194  0.000
Ti  0.372  0.628  0.000
Ti  0.400  0.037  0.000
Ti  0.600  0.963  0.000
Ti  0.628  0.372  0.000
Ti  0.806  0.806  0.000
Ti  0.807  0.193  0.000
Ti  0.963  0.600  0.000
Nb  0.250  0.405  0.500
Nb  0.405  0.250  0.500
Nb  0.595  0.750  0.500
Nb  0.750  0.595  0.500
Al  0.005  0.200  0.500
Al  0.167  0.600  0.500
Al  0.200  0.005  0.500
Al  0.400  0.833  0.500
Al  0.500  0.500  0.500
Al  0.600  0.167  0.500
Al  0.800  0.995  0.500
Al  0.833  0.400  0.500
Al  0.995  0.800  0.500

=====

No. 17
The following is a PBE-GGA calculation of an optimized crystal structure of LiHoZn2Pd4, from Alexandria via LeMat-Bulk.

Calculated values
Crystal system: trigonal
Formation energy from the elements: -0.653 eV per atom
Total magnetic moment: 0.0 μB/cell

Cell lengths 8.031, 8.031, 8.031 Å; angles 31.87, 31.87, 31.87 degrees
Atoms (fractional coordinates):
Li  0.000  0.000  0.000
Ho  0.500  0.500  0.500
Zn  0.257  0.257  0.257
Zn  0.743  0.743  0.743
Pd  0.109  0.109  0.109
Pd  0.373  0.373  0.373
Pd  0.627  0.627  0.627
Pd  0.891  0.891  0.891

=====

No. 18
The following is a PBE-GGA calculation of an optimized crystal structure of Zr3S, from Alexandria via LeMat-Bulk.

Calculated values
Crystal system: orthorhombic
Uncorrected energy: -8.006 eV/atom
Total magnetic moment: 0.0 μB/cell

Cell lengths 3.184, 3.271, 8.417 Å; angles 90.00, 90.00, 90.00 degrees
Atoms (fractional coordinates):
Zr  0.000  0.000  0.000
Zr  0.000  0.500  0.341
Zr  0.500  0.500  0.736
S  0.500  0.000  0.491

=====

No. 19
The following is a PBE-GGA calculation of an optimized crystal structure of K2Sn2H7, from Alexandria via LeMat-Bulk.

Calculated values
Crystal system: triclinic
Uncorrected energy: -2.933 eV/atom
Total magnetic moment: 0.0 μB/cell

Cell lengths 4.718, 6.207, 6.437 Å; angles 102.37, 98.10, 94.11 degrees
Atoms (fractional coordinates):
K  0.223  0.254  0.024
K  0.777  0.746  0.976
Sn  0.341  0.786  0.476
Sn  0.659  0.214  0.524
H  0.038  0.222  0.596
H  0.267  0.820  0.779
H  0.342  0.686  0.166
H  0.500  0.500  0.500
H  0.658  0.314  0.834
H  0.733  0.180  0.221
H  0.962  0.778  0.404

=====

No. 20
The following is a PBE-GGA calculation of an optimized crystal structure of PuZr2Ga6, from Alexandria via LeMat-Bulk.

Calculated values
Crystal system: orthorhombic
Formation energy from the elements: -0.329 eV per atom
Total magnetic moment: 5.8 μB/cell

Cell lengths 7.568, 7.568, 7.568 Å; angles 147.93, 125.95, 64.25 degrees
Atoms (fractional coordinates):
Pu  0.000  0.000  0.000
Zr  0.380  0.880  0.500
Zr  0.620  0.120  0.500
Ga  0.013  0.310  0.703
Ga  0.317  0.500  0.817
Ga  0.393  0.690  0.703
Ga  0.607  0.310  0.297
Ga  0.683  0.500  0.183
Ga  0.987  0.690  0.297

=====

No. 21
The following is a PBE-GGA calculation of an optimized crystal structure of LaTlF2, from Alexandria via LeMat-Bulk.

Calculated values
Crystal system: trigonal
Uncorrected energy: -4.882 eV/atom
Total magnetic moment: 0.0 μB/cell

Cell lengths 7.819, 7.819, 7.819 Å; angles 31.25, 31.25, 31.25 degrees
Atoms (fractional coordinates):
La  0.000  0.000  0.000
Tl  0.500  0.500  0.500
F  0.101  0.101  0.101
F  0.899  0.899  0.899

=====

No. 22
The following is a PBE-GGA calculation of an optimized crystal structure of Ce3Si2SbRh9, from Alexandria via LeMat-Bulk.

Calculated values
Crystal system: trigonal
Uncorrected energy: -7.194 eV/atom
Total magnetic moment: 0.3 μB/cell

Cell lengths 5.680, 5.680, 10.700 Å; angles 90.00, 90.00, 120.00 degrees
Atoms (fractional coordinates):
Ce  0.000  0.000  0.000
Ce  0.333  0.667  0.727
Ce  0.667  0.333  0.273
Si  0.333  0.667  0.157
Si  0.667  0.333  0.843
Sb  0.000  0.000  0.500
Rh  0.000  0.500  0.000
Rh  0.161  0.321  0.302
Rh  0.161  0.839  0.302
Rh  0.321  0.161  0.698
Rh  0.500  0.000  0.000
Rh  0.500  0.500  0.000
Rh  0.679  0.839  0.302
Rh  0.839  0.161  0.698
Rh  0.839  0.679  0.698

=====

No. 23
The following is a PBE-GGA calculation of an optimized crystal structure of ScInW2, from Alexandria via LeMat-Bulk.

Calculated values
Crystal system: tetragonal
Formation energy from the elements: 0.546 eV per atom
Total magnetic moment: 0.0 μB/cell

Cell lengths 3.549, 3.549, 6.071 Å; angles 90.00, 90.00, 90.00 degrees
Atoms (fractional coordinates):
Sc  0.000  0.000  0.000
In  0.000  0.000  0.500
W  0.500  0.500  0.291
W  0.500  0.500  0.709

=====

| no. | D(E_F) (states/eV/cell) |
| --- | --- |
| 1 | 6.04 |
| 2 | 5.35 |
| 3 | 4.64 |
| 4 | 2.88 |
| 5 | 10.73 |
| 6 | 2.84 |
| 7 | 4.02 |
| 8 | 4.25 |
| 9 | 5.69 |
| 10 | 6.23 |
| 11 | 8.95 |
| 12 | 4.18 |
| 13 | 2.67 |
| 14 | 6.69 |
| 15 | 14.61 |
| 16 | 27.56 |
| 17 | 3.32 |
| 18 | 3.48 |
| 19 | 1.90 |
| 20 | 15.89 |
| 21 | 1.06 |
| 22 | 11.70 |
| 23 | 2.45 |